# 1
AlAsW2: PBEsol geometry, meta-GGA SCAN.

The value obtained for the formation energy is 9.01 kcal/mol of atoms. The total magnetic moment is 0.00 μB per atom. The energy above the most stable polymorph in this dataset comes out at 438 meV/atom.

The space group is Cmmm (No. 65) and the conventional cell measures 3.144, 4.707 and 8.364 Å, with angles of 90.00, 90.00 and 90.00 degrees. The inequivalent atoms are Al at (0.000, 0.000, 0.000), As at (0.000, 0.000, 0.500) and W at (0.000, 0.500, 0.259).


# 2
AlAsW2: PBEsol geometry, meta-GGA SCAN.

The value obtained for the formation energy is 11.16 kcal/mol of atoms. The total magnetic moment is 0.00 μB per atom. The energy above the most stable polymorph in this dataset comes out at 531 meV/atom.

The space group is I-42d (No. 122) and the conventional cell measures 3.777, 3.777 and 18.482 Å, with angles of 90.00, 90.00 and 90.00 degrees. The inequivalent atoms are Al at (0.000, 0.000, 0.000), As at (0.000, 0.000, 0.500) and W at (0.248, 0.250, 0.125).


# 3
AlAsW2: PBEsol geometry, meta-GGA SCAN.

The value obtained for the formation energy is 11.82 kcal/mol of atoms. The total magnetic moment is 0.00 μB per atom. The energy above the most stable polymorph in this dataset comes out at 560 meV/atom.

The space group is P4/mmm (No. 123) and the conventional cell measures 3.858, 3.858 and 4.107 Å, with angles of 90.00, 90.00 and 90.00 degrees. The inequivalent atoms are Al at (0.000, 0.000, 0.000), As at (0.500, 0.500, 0.000) and W at (0.000, 0.500, 0.500).